Record 1
Here is crystalline CaLaZnPt at its relaxed geometry from Alexandria. Energies are from PBE-GGA.

- symmetry = Amm2
- E_form (eV/atom) = -0.728

a = 4.2265 Å, b = 6.1885 Å, c = 6.1885 Å
α = 39.32°, β = 90.00°, γ = 90.00°
Closest atoms and distances in Å follow each position.
Element x y z (fractional)
Ca1 0.0000 0.0000 0.0000  4 Zn 3.09, 3 Pt 3.20-3.35
La1 0.5000 0.2820 0.2820  4 Pt 3.04, 3 Zn 3.20-3.40
Zn1 0.5000 0.5735 0.5735  2 Pt 2.76, 4 Ca 3.09
Pt1 0.0000 0.7255 0.7255  2 Zn 2.76, 4 La 3.04

=====

Record 2
Here is crystalline Mn3Te8Rh at its relaxed geometry from Alexandria. Energies are from PBE-GGA.

- symmetry = C2/m
- formation energy from raw total energies (eV/atom) = -0.25

a = 7.6625 Å, b = 7.6625 Å, c = 7.7417 Å
α = 119.28°, β = 119.28°, γ = 60.03°
Closest atoms and distances in Å follow each position.
Element x y z (fractional)
Mn1 0.0000 0.0000 0.0000  6 Te 2.68
Mn2 0.0000 0.5000 0.0000  6 Te 2.69
Mn3 0.5000 0.0000 0.0000  6 Te 2.69
Te1 0.2452 0.2452 0.2386  3 Mn 2.68-2.69
Te2 0.2462 0.7448 0.2375  1 Rh 2.68, 2 Mn 2.68-2.69
Te3 0.2552 0.7538 0.7625  1 Rh 2.68, 2 Mn 2.68-2.69
Te4 0.2556 0.2556 0.7622  1 Rh 2.68, 2 Mn 2.69
Te5 0.7444 0.7444 0.2378  1 Rh 2.68, 2 Mn 2.69
Te6 0.7448 0.2462 0.2375  1 Rh 2.68, 2 Mn 2.68-2.69
Te7 0.7538 0.2552 0.7625  1 Rh 2.68, 2 Mn 2.68-2.69
Te8 0.7548 0.7548 0.7614  3 Mn 2.68-2.69
Rh1 0.5000 0.5000 0.0000  6 Te 2.68

=====

Record 3
Here is crystalline Cs2MnAsI6 at its relaxed geometry from Alexandria. Energies are from PBE-GGA.

- symmetry = I4/mmm
- formation energy from raw total energies (eV/atom) = -0.71

a = 8.5956 Å, b = 8.5956 Å, c = 8.5956 Å
α = 121.75°, β = 121.75°, γ = 87.00°
Closest atoms and distances in Å follow each position.
Element x y z (fractional)
Cs1 0.2500 0.7500 0.5000  12 I 4.20-4.30
Cs2 0.7500 0.2500 0.5000  12 I 4.20-4.30
Mn1 0.0000 0.0000 0.0000  2 I 2.70
As1 0.5000 0.5000 0.0000  4 I 2.87
I1 0.2164 0.2164 0.0000  1 Mn 2.70
I2 0.2572 0.2572 0.5145  1 As 2.87, 1 Mn 3.04
I3 0.2572 0.7428 0.0000  1 As 2.87, 1 Mn 3.04
I4 0.7428 0.2572 0.0000  1 As 2.87, 1 Mn 3.04
I5 0.7428 0.7428 0.4855  1 As 2.87, 1 Mn 3.04
I6 0.7836 0.7836 0.0000  1 Mn 2.70

=====

Record 4
Here is crystalline LaPr2SmY5 at its relaxed geometry from Alexandria. Energies are from PBE-GGA.

- symmetry = I4/mcm
- E_form (eV/atom) = 0.233

a = 10.0589 Å, b = 10.0589 Å, c = 10.0589 Å
α = 128.11°, β = 128.11°, γ = 76.44°
Closest atoms and distances in Å follow each position.
Element x y z (fractional)
La1 0.2500 0.2500 0.0000  10 Y 3.63-3.95
La2 0.7500 0.7500 0.0000  10 Y 3.63-3.95
Pr1 0.1178 0.6178 0.7356  1 Pr 2.93, 2 Y 3.06
Pr2 0.3822 0.1178 0.5000  1 Pr 2.93, 2 Y 3.06
Pr3 0.6178 0.8822 0.5000  1 Pr 2.93, 2 Y 3.06
Pr4 0.8822 0.3822 0.2644  1 Pr 2.93, 2 Y 3.06
Sm1 0.2500 0.7500 0.5000  4 Y 3.15
Sm2 0.7500 0.2500 0.5000  4 Y 3.15
Y1 0.0000 0.0000 0.0000  4 Pr 3.52, 8 Y 3.82
Y2 0.0718 0.1545 0.5000  1 Pr 3.06, 1 Sm 3.15
Y3 0.1545 0.6545 0.0828  1 Pr 3.06, 1 Sm 3.15
Y4 0.3455 0.4282 0.5000  1 Pr 3.06, 1 Sm 3.15
Y5 0.4282 0.9282 0.0828  1 Pr 3.06, 1 Sm 3.15
Y6 0.5000 0.5000 0.0000  4 Pr 3.52, 8 Y 3.82
Y7 0.5718 0.0718 0.9172  1 Pr 3.06, 1 Sm 3.15
Y8 0.6545 0.5718 0.5000  1 Pr 3.06, 1 Sm 3.15
Y9 0.8455 0.3455 0.9172  1 Pr 3.06, 1 Sm 3.15
Y10 0.9282 0.8455 0.5000  1 Pr 3.06, 1 Sm 3.15

=====

Record 5
Here is crystalline RbSn3Ru at its relaxed geometry from Alexandria. Energies are from PBE-GGA.

- symmetry = Pm-3m
- E_form (eV/atom) = 2.140

a = 5.8633 Å, b = 5.8633 Å, c = 5.8633 Å
α = 90.00°, β = 90.00°, γ = 90.00°
Closest atoms and distances in Å follow each position.
Element x y z (fractional)
Rb1 0.0000 0.0000 0.0000  6 Sn 2.93
Sn1 0.0000 0.0000 0.5000  2 Rb 2.93
Sn2 0.0000 0.5000 0.0000  2 Rb 2.93
Sn3 0.5000 0.0000 0.0000  2 Rb 2.93
Ru1 0.5000 0.5000 0.5000  12 Sn 4.15

=====

Record 6
Here is crystalline SrCa2TeIr at its relaxed geometry from Alexandria. Energies are from PBE-GGA.

- symmetry = P4/mmm
- formation energy from raw total energies (eV/atom) = -0.56

a = 5.4240 Å, b = 5.4240 Å, c = 5.7798 Å
α = 90.00°, β = 90.00°, γ = 90.00°
Closest atoms and distances in Å follow each position.
Element x y z (fractional)
Sr1 0.0000 0.0000 0.0000  2 Ir 2.89
Ca1 0.0000 0.5000 0.5000  2 Ir 2.71
Ca2 0.5000 0.0000 0.5000  2 Ir 2.71
Te1 0.5000 0.5000 0.0000  4 Sr 3.84, 8 Ca 3.96
Ir1 0.0000 0.0000 0.5000  4 Ca 2.71, 2 Sr 2.89